Record 1
# BeInAs2 GGA-PBE relaxed
# Crystal system: tetragonal
# ΔE_f: 0.5592 eV/atom
# Energy: -13.53 eV per formula unit
# N(E_F): 2.6 states/eV/cell
data_BeInAs2
_cell_length_a 4.5133
_cell_length_b 4.5133
_cell_length_c 3.7227
_cell_angle_alpha 90.00
_cell_angle_beta 90.00
_cell_angle_gamma 90.00
_space_group_name_H-M_alt 'P 4/m m m'
_space_group_IT_number 123
_space_group_name_Hall '-P 4 2'
loop_
_atom_site_label
_atom_site_fract_x
_atom_site_fract_y
_atom_site_fract_z
Be1 0.0000 0.0000 0.0000
In1 0.5000 0.5000 0.0000
As1 0.0000 0.5000 0.5000

=====

Record 2
# SrBr GGA-PBE relaxed
# Crystal system: cubic
# Formation energy without anion corrections: -1.24 eV/atom
# Energy: -5.83 eV per formula unit
# N(E_F): 11.4 states/eV/cell
data_SrBr
_cell_length_a 9.5822
_cell_length_b 9.5822
_cell_length_c 9.5822
_cell_angle_alpha 90.00
_cell_angle_beta 90.00
_cell_angle_gamma 90.00
_space_group_name_H-M_alt 'I -4 3 m'
_space_group_IT_number 217
_space_group_name_Hall 'I -4 2 3'
loop_
_atom_site_label
_atom_site_fract_x
_atom_site_fract_y
_atom_site_fract_z
Sr1 0.1858 0.1858 0.8142
Br1 0.1367 0.1367 0.1367

=====

Record 3
# BeSb2AuI GGA-PBE relaxed
# Crystal system: tetragonal
# Formation energy without anion corrections: 0.61 eV/atom
# Energy: -13.75 eV per formula unit
# N(E_F): 2.6 states/eV/cell
# Relative energy among the computed polymorphs: 0.0 meV/atom
data_BeSb2AuI
_cell_length_a 4.9733
_cell_length_b 4.9733
_cell_length_c 5.0699
_cell_angle_alpha 90.00
_cell_angle_beta 90.00
_cell_angle_gamma 90.00
_space_group_name_H-M_alt 'P 4/m m m'
_space_group_IT_number 123
_space_group_name_Hall '-P 4 2'
loop_
_atom_site_label
_atom_site_fract_x
_atom_site_fract_y
_atom_site_fract_z
Be1 0.0000 0.0000 0.0000
Sb1 0.0000 0.5000 0.0000
Au1 0.5000 0.5000 0.5000
I1 0.0000 0.0000 0.5000

=====

Question: Which of these has the lowest energy?
Answer: BeSb2AuI

=====

Question: The highest energy belongs to which entry?
Answer: SrBr

=====

Question: Which value of N(E_F) does entry 3 give?
Answer: 2.6 states/eV/cell